# 1
## TbCrGe (PBE-GGA)

Data for crystalline TbCrGe at its relaxed geometry.

Calculated values
Electronic total energy   -6.647 eV/atom
Calculated volume   19.08 Å³/atom

a b c (Å): 3.921 3.921 7.446
angles (deg): 90.00 90.00 90.00
Fractional positions:
Tb (0.250, 0.250, 0.159)
Tb (0.750, 0.750, 0.841)
Cr (0.250, 0.750, 0.500)
Cr (0.750, 0.250, 0.500)
Ge (0.250, 0.250, 0.717)
Ge (0.750, 0.750, 0.283)

---

# 2
## TbCr6Ge6 (PBE-GGA)

Data for crystalline TbCr6Ge6 at its relaxed geometry.

Calculated values
Electronic total energy   -7.133 eV/atom
Calculated volume   14.45 Å³/atom

a b c (Å): 5.110 5.110 8.309
angles (deg): 90.00 90.00 120.00
Fractional positions:
Tb (0.000, 0.000, 0.000)
Cr (0.000, 0.500, 0.251)
Cr (0.000, 0.500, 0.749)
Cr (0.500, 0.000, 0.251)
Cr (0.500, 0.000, 0.749)
Cr (0.500, 0.500, 0.251)
Cr (0.500, 0.500, 0.749)
Ge (0.000, 0.000, 0.346)
Ge (0.000, 0.000, 0.654)
Ge (0.333, 0.667, 0.000)
Ge (0.333, 0.667, 0.500)
Ge (0.667, 0.333, 0.000)
Ge (0.667, 0.333, 0.500)

---

# 3
## TbCrGe2 (PBE-GGA)

Data for crystalline TbCrGe2 at its relaxed geometry.

Calculated values
Electronic total energy   -5.232 eV/atom
Calculated volume   32.35 Å³/atom

a b c (Å): 7.047 7.047 7.047
angles (deg): 39.84 39.84 39.84
Fractional positions:
Tb (0.000, 0.000, 0.000)
Cr (0.500, 0.500, 0.500)
Ge (0.372, 0.372, 0.372)
Ge (0.628, 0.628, 0.628)

---

# 4
## CrTc2Ge4 (PBE-GGA)

Data for crystalline CrTc2Ge4 at its relaxed geometry.

Calculated values
Electronic total energy   -6.365 eV/atom
Calculated volume   18.54 Å³/atom

a b c (Å): 6.988 6.988 6.988
angles (deg): 141.76 141.76 55.19
Fractional positions:
Cr (0.000, 0.000, 0.000)
Tc (0.396, 0.396, 0.000)
Tc (0.604, 0.604, 0.000)
Ge (0.000, 0.500, 0.500)
Ge (0.196, 0.196, 0.000)
Ge (0.500, 0.000, 0.500)
Ge (0.804, 0.804, 0.000)

---

# 5
## CrTcGe (PBE-GGA)

Data for crystalline CrTcGe at its relaxed geometry.

Calculated values
Calculated volume   13.67 Å³/atom
Relative energy among the computed polymorphs   77.1 meV/atom

a b c (Å): 7.050 7.050 2.859
angles (deg): 90.00 90.00 120.00
Fractional positions:
Cr (0.000, 0.000, 0.000)
Cr (0.333, 0.667, 0.500)
Cr (0.667, 0.333, 0.500)
Tc (0.000, 0.351, 0.000)
Tc (0.351, 0.000, 0.000)
Tc (0.649, 0.649, 0.000)
Ge (0.000, 0.695, 0.500)
Ge (0.305, 0.305, 0.500)
Ge (0.695, 0.000, 0.500)

---

# 6
## Cr2TcGe (PBE-GGA)

Data for crystalline Cr2TcGe at its relaxed geometry.

Calculated values
Electronic total energy   -7.911 eV/atom
Calculated volume   14.86 Å³/atom

a b c (Å): 5.452 5.452 5.452
angles (deg): 102.89 102.89 123.63
Fractional positions:
Cr (0.106, 0.625, 0.981)
Cr (0.375, 0.356, 0.481)
Cr (0.644, 0.125, 0.019)
Cr (0.875, 0.894, 0.519)
Tc (0.000, 0.000, 0.000)
Tc (0.750, 0.250, 0.500)
Ge (0.250, 0.750, 0.500)
Ge (0.500, 0.500, 0.000)

---

# 7
## CrTcGe (PBE-GGA)

Data for crystalline CrTcGe at its relaxed geometry.

Calculated values
Calculated volume   13.38 Å³/atom
Relative energy among the computed polymorphs   0.0 meV/atom

a b c (Å): 4.882 4.882 4.882
angles (deg): 143.91 143.91 51.96
Fractional positions:
Cr (0.000, 0.000, 0.000)
Tc (0.664, 0.664, 0.000)
Ge (0.339, 0.339, 0.000)

---

# 8
## CrTcGe (PBE-GGA)

Data for crystalline CrTcGe at its relaxed geometry.

Calculated values
Calculated volume   13.72 Å³/atom
Relative energy among the computed polymorphs   130.2 meV/atom

a b c (Å): 4.139 4.139 2.774
angles (deg): 90.00 90.00 120.00
Fractional positions:
Cr (0.000, 0.000, 0.000)
Tc (0.667, 0.333, 0.541)
Ge (0.333, 0.667, 0.054)

---

# 9
## Cr3TcGe (PBE-GGA)

Data for crystalline Cr3TcGe at its relaxed geometry.

Calculated values
Calculated volume   15.67 Å³/atom
Relative energy among the computed polymorphs   233.7 meV/atom

a b c (Å): 4.279 4.279 4.279
angles (deg): 90.00 90.00 90.00
Fractional positions:
Cr (0.000, 0.000, 0.500)
Cr (0.000, 0.500, 0.000)
Cr (0.500, 0.000, 0.000)
Tc (0.500, 0.500, 0.500)
Ge (0.000, 0.000, 0.000)

---

# 10
## CrTcGe4 (PBE-GGA)

Data for crystalline CrTcGe4 at its relaxed geometry.

Calculated values
Electronic total energy   -6.211 eV/atom
Calculated volume   19.49 Å³/atom

a b c (Å): 6.321 6.321 2.927
angles (deg): 90.00 90.00 90.63
Fractional positions:
Cr (0.000, 0.000, 0.000)
Tc (0.500, 0.500, 0.500)
Ge (0.219, 0.781, 0.500)
Ge (0.272, 0.272, 0.000)
Ge (0.728, 0.728, 0.000)
Ge (0.781, 0.219, 0.500)

---

# 11
## Cr3TcGe (PBE-GGA)

Data for crystalline Cr3TcGe at its relaxed geometry.

Calculated values
Calculated volume   19.86 Å³/atom
Relative energy among the computed polymorphs   0.0 meV/atom

a b c (Å): 4.630 4.630 4.630
angles (deg): 90.00 90.00 90.00
Fractional positions:
Cr (0.000, 0.000, 0.500)
Cr (0.000, 0.500, 0.000)
Cr (0.500, 0.000, 0.000)
Tc (0.000, 0.000, 0.000)
Ge (0.500, 0.500, 0.500)

---

# 12
## CrTc5Ge6 (PBE-GGA)

Data for crystalline CrTc5Ge6 at its relaxed geometry.

Calculated values
Electronic total energy   -7.359 eV/atom
Calculated volume   15.07 Å³/atom

a b c (Å): 5.129 5.129 8.136
angles (deg): 95.83 95.83 120.35
Fractional positions:
Cr (0.000, 0.000, 0.000)
Tc (0.158, 0.842, 0.500)
Tc (0.329, 0.671, 0.000)
Tc (0.500, 0.500, 0.500)
Tc (0.671, 0.329, 0.000)
Tc (0.842, 0.158, 0.500)
Ge (0.087, 0.436, 0.256)
Ge (0.269, 0.269, 0.754)
Ge (0.436, 0.087, 0.256)
Ge (0.564, 0.913, 0.744)
Ge (0.731, 0.731, 0.246)
Ge (0.913, 0.564, 0.744)

---

# 13
## Cr2TcGe2 (PBE-GGA)

Data for crystalline Cr2TcGe2 at its relaxed geometry.

Calculated values
Electronic total energy   -7.613 eV/atom
Calculated volume   13.61 Å³/atom

a b c (Å): 6.649 6.649 3.078
angles (deg): 90.00 90.00 90.00
Fractional positions:
Cr (0.154, 0.346, 0.000)
Cr (0.346, 0.846, 0.000)
Cr (0.654, 0.154, 0.000)
Cr (0.846, 0.654, 0.000)
Tc (0.000, 0.000, 0.500)
Tc (0.500, 0.500, 0.500)
Ge (0.143, 0.643, 0.500)
Ge (0.357, 0.143, 0.500)
Ge (0.643, 0.857, 0.500)
Ge (0.857, 0.357, 0.500)

---

# 14
## VCr2TcGe (PBE-GGA)

Data for crystalline VCr2TcGe at its relaxed geometry.

Calculated values
Electronic total energy   -7.280 eV/atom
Calculated volume   16.13 Å³/atom

a b c (Å): 4.281 4.281 4.401
angles (deg): 90.00 90.00 90.00
Fractional positions:
V (0.000, 0.000, 0.000)
Cr (0.000, 0.500, 0.500)
Cr (0.500, 0.000, 0.500)
Tc (0.500, 0.500, 0.000)
Ge (0.000, 0.000, 0.500)

---

# 15
## CrTcGeW (PBE-GGA)

Data for crystalline CrTcGeW at its relaxed geometry.

Calculated values
Electronic total energy   -9.344 eV/atom
Calculated volume   14.16 Å³/atom

a b c (Å): 4.311 4.311 4.311
angles (deg): 60.00 60.00 60.00
Fractional positions:
Cr (0.000, 0.000, 0.000)
Tc (0.500, 0.500, 0.500)
Ge (0.750, 0.750, 0.750)
W (0.250, 0.250, 0.250)

---

# 16
## ZnCr2TcGe (PBE-GGA)

Data for crystalline ZnCr2TcGe at its relaxed geometry.

Calculated values
Electronic total energy   -5.767 eV/atom
Calculated volume   18.89 Å³/atom

a b c (Å): 4.525 4.525 4.612
angles (deg): 90.00 90.00 90.00
Fractional positions:
Zn (0.000, 0.000, 0.000)
Cr (0.000, 0.500, 0.000)
Cr (0.500, 0.000, 0.000)
Tc (0.000, 0.000, 0.500)
Ge (0.500, 0.500, 0.500)

---

# 17
## CrGe3Te (PBE-GGA)

Data for crystalline CrGe3Te at its relaxed geometry.

Calculated values
Calculated volume   22.09 Å³/atom
Relative energy among the computed polymorphs   0.0 meV/atom
Formation energy without anion corrections   0.28 eV/atom

a b c (Å): 4.798 4.798 4.798
angles (deg): 90.00 90.00 90.00
Fractional positions:
Cr (0.000, 0.000, 0.000)
Ge (0.000, 0.000, 0.500)
Ge (0.000, 0.500, 0.000)
Ge (0.500, 0.000, 0.000)
Te (0.500, 0.500, 0.500)

---

# 18
## CrGeTe (PBE-GGA)

Data for crystalline CrGeTe at its relaxed geometry.

Calculated values
Calculated volume   19.63 Å³/atom
Formation energy without anion corrections   0.25 eV/atom

a b c (Å): 3.381 3.381 11.902
angles (deg): 90.00 90.00 120.00
Fractional positions:
Cr (0.000, 0.000, 0.000)
Cr (0.000, 0.000, 0.500)
Ge (0.667, 0.333, 0.127)
Ge (0.667, 0.333, 0.873)
Te (0.333, 0.667, 0.353)
Te (0.333, 0.667, 0.647)

---

# 19
## Cr2GeTe (PBE-GGA)

Data for crystalline Cr2GeTe at its relaxed geometry.

Calculated values
Calculated volume   15.27 Å³/atom
Relative energy among the computed polymorphs   0.0 meV/atom
Formation energy without anion corrections   0.39 eV/atom

a b c (Å): 4.421 4.421 4.421
angles (deg): 60.00 60.00 60.00
Fractional positions:
Cr (0.250, 0.250, 0.250)
Cr (0.750, 0.750, 0.750)
Ge (0.000, 0.000, 0.000)
Te (0.500, 0.500, 0.500)

---

# 20
## Cr3GeTe (PBE-GGA)

Data for crystalline Cr3GeTe at its relaxed geometry.

Calculated values
Calculated volume   26.12 Å³/atom
Relative energy among the computed polymorphs   446.0 meV/atom
Formation energy without anion corrections   1.12 eV/atom

a b c (Å): 5.073 5.073 5.073
angles (deg): 90.00 90.00 90.00
Fractional positions:
Cr (0.000, 0.000, 0.500)
Cr (0.000, 0.500, 0.000)
Cr (0.500, 0.000, 0.000)
Ge (0.500, 0.500, 0.500)
Te (0.000, 0.000, 0.000)

---

# 21
## Cr2GeTe (PBE-GGA)

Data for crystalline Cr2GeTe at its relaxed geometry.

Calculated values
Calculated volume   25.21 Å³/atom
Relative energy among the computed polymorphs   114.3 meV/atom
Formation energy without anion corrections   0.50 eV/atom

a b c (Å): 7.506 7.506 7.506
angles (deg): 135.95 135.95 64.05
Fractional positions:
Cr (0.089, 0.625, 0.964)
Cr (0.375, 0.339, 0.464)
Cr (0.661, 0.125, 0.036)
Cr (0.875, 0.911, 0.536)
Ge (0.000, 0.000, 0.000)
Ge (0.750, 0.250, 0.500)
Te (0.250, 0.750, 0.500)
Te (0.500, 0.500, 0.000)

---

# 22
## CrGe2Te (PBE-GGA)

Data for crystalline CrGe2Te at its relaxed geometry.

Calculated values
Calculated volume   27.75 Å³/atom
Formation energy without anion corrections   0.50 eV/atom

a b c (Å): 7.512 7.512 7.512
angles (deg): 133.10 133.10 68.50
Fractional positions:
Cr (0.000, 0.000, 0.000)
Cr (0.750, 0.250, 0.500)
Ge (0.078, 0.625, 0.953)
Ge (0.375, 0.328, 0.453)
Ge (0.672, 0.125, 0.047)
Ge (0.875, 0.922, 0.547)
Te (0.250, 0.750, 0.500)
Te (0.500, 0.500, 0.000)

---

# 23
## Cr2GeTe6 (PBE-GGA)

Data for crystalline Cr2GeTe6 at its relaxed geometry.

Calculated values
Calculated volume   26.86 Å³/atom
Formation energy without anion corrections   -0.11 eV/atom

a b c (Å): 6.945 6.945 5.787
angles (deg): 90.00 90.00 120.00
Fractional positions:
Cr (0.333, 0.667, 0.000)
Cr (0.667, 0.333, 0.000)
Ge (0.000, 0.000, 0.000)
Te (0.000, 0.355, 0.742)
Te (0.000, 0.645, 0.258)
Te (0.355, 0.000, 0.742)
Te (0.355, 0.355, 0.258)
Te (0.645, 0.000, 0.258)
Te (0.645, 0.645, 0.742)

---

# 24
## Cr2Ge2Te (PBE-GGA)

Data for crystalline Cr2Ge2Te at its relaxed geometry.

Calculated values
Calculated volume   17.16 Å³/atom
Relative energy among the computed polymorphs   0.0 meV/atom
Formation energy without anion corrections   0.18 eV/atom

a b c (Å): 6.895 6.895 6.895
angles (deg): 149.18 149.18 44.15
Fractional positions:
Cr (0.108, 0.108, 0.000)
Cr (0.892, 0.892, 0.000)
Ge (0.250, 0.750, 0.500)
Ge (0.750, 0.250, 0.500)
Te (0.500, 0.500, 0.000)

---

# 25
## Cr2Ge2Te (PBE-GGA)

Data for crystalline Cr2Ge2Te at its relaxed geometry.

Calculated values
Calculated volume   16.72 Å³/atom
Relative energy among the computed polymorphs   51.5 meV/atom
Formation energy without anion corrections   0.23 eV/atom

a b c (Å): 7.438 7.438 3.022
angles (deg): 90.00 90.00 90.00
Fractional positions:
Cr (0.156, 0.344, 0.000)
Cr (0.344, 0.844, 0.000)
Cr (0.656, 0.156, 0.000)
Cr (0.844, 0.656, 0.000)
Ge (0.134, 0.634, 0.500)
Ge (0.366, 0.134, 0.500)
Ge (0.634, 0.866, 0.500)
Ge (0.866, 0.366, 0.500)
Te (0.000, 0.000, 0.000)
Te (0.500, 0.500, 0.000)

---

# 26
## Cr3GeTe (PBE-GGA)

Data for crystalline Cr3GeTe at its relaxed geometry.

Calculated values
Calculated volume   22.22 Å³/atom
Relative energy among the computed polymorphs   0.0 meV/atom
Formation energy without anion corrections   0.67 eV/atom

a b c (Å): 4.807 4.807 4.807
angles (deg): 90.00 90.00 90.00
Fractional positions:
Cr (0.000, 0.000, 0.500)
Cr (0.000, 0.500, 0.000)
Cr (0.500, 0.000, 0.000)
Ge (0.000, 0.000, 0.000)
Te (0.500, 0.500, 0.500)